(1)
Below is a relaxed PuHf2Zr2 crystal, with properties calculated at the GGA-PBE level.

The calculation puts the size of the total moment at 11.0 μB/cell.

Unit cell a=5.5650 b=3.1768 c=13.2074 alpha=90.00 beta=98.94 gamma=90.00
With the nearest neighbours (Å) after each atom.
Positions (direct):
Pu1 0.1458 0.2500 0.1979  4 Hf 3.12-3.26, 6 Zr 3.17-3.23, 2 Pu 3.18
Pu2 0.8542 0.7500 0.8021  4 Hf 3.12-3.26, 6 Zr 3.17-3.23, 2 Pu 3.18
Hf1 0.2544 0.7500 0.9958  3 Pu 3.12-3.24, 6 Hf 3.15-3.26, 3 Zr 3.17-3.18
Hf2 0.4465 0.7500 0.5966  4 Hf 3.14-3.18, 7 Zr 3.14-3.21, 1 Pu 3.26
Hf3 0.5535 0.2500 0.4034  4 Hf 3.14-3.18, 7 Zr 3.14-3.21, 1 Pu 3.26
Hf4 0.7456 0.2500 0.0042  3 Pu 3.12-3.24, 6 Hf 3.15-3.26, 3 Zr 3.17-3.18
Zr1 0.0499 0.7500 0.3991  5 Hf 3.14-3.21, 5 Zr 3.18-3.22, 2 Pu 3.21
Zr2 0.3596 0.2500 0.7993  4 Pu 3.17-3.23, 5 Hf 3.17-3.21, 3 Zr 3.18-3.19
Zr3 0.6404 0.7500 0.2007  4 Pu 3.17-3.23, 5 Hf 3.17-3.21, 3 Zr 3.18-3.19
Zr4 0.9501 0.2500 0.6009  5 Hf 3.14-3.21, 5 Zr 3.18-3.22, 2 Pu 3.21



(2)
Below is a relaxed Tb2RuPb crystal, with properties calculated at the GGA-PBE level.

The value obtained for the energy above the most stable polymorph in this dataset is 189.3 meV per atom. The calculation puts the size of the total moment at 0.0 μB/cell.

Unit cell a=4.9494 b=4.9494 c=3.8938 alpha=90.00 beta=90.00 gamma=90.00
With the nearest neighbours (Å) after each atom.
Positions (direct):
Tb1 0.0000 0.5000 0.0000  4 Pb 3.15, 4 Ru 3.15, 4 Tb 3.50
Tb2 0.5000 0.0000 0.0000  4 Pb 3.15, 4 Ru 3.15, 4 Tb 3.50
Ru1 0.0000 0.0000 0.5000  8 Tb 3.15, 4 Pb 3.50
Pb1 0.5000 0.5000 0.5000  8 Tb 3.15, 4 Ru 3.50



| no. | formation energy from the elements (eV per formula unit) |
| --- | --- |
| 1 | 0.39 |
| 2 | -1.07 |